w:
Here is a relaxed structure of BeNbCd from the Open Quantum Materials Database. Energies are from PBE.

Cell: 4.2975 4.2975 4.2975 Å, 60.00 60.00 60.00°
Closest atoms and distances in Å follow each position.
Positions (direct):
Cd1 0.0000 0.0000 0.0000  4 Nb 2.63, 4 Be 2.63
Be1 0.2500 0.2500 0.2500  4 Cd 2.63
Nb1 0.7500 0.7500 0.7500  4 Cd 2.63

***

x:
Here is a relaxed structure of BeNbCd from the Open Quantum Materials Database. Energies are from PBE.

Cell: 4.3657 4.3657 4.3657 Å, 60.00 60.00 60.00°
Closest atoms and distances in Å follow each position.
Positions (direct):
Nb1 0.0000 0.0000 0.0000  4 Cd 2.67, 4 Be 2.67
Be1 0.2500 0.2500 0.2500  4 Nb 2.67
Cd1 0.7500 0.7500 0.7500  4 Nb 2.67

***

Of them, w has the highest stability.

***

w:
Here is a relaxed structure of BeCdNi from the Open Quantum Materials Database. Energies are from PBE.

Cell: 4.0256 4.0256 4.0256 Å, 60.00 60.00 60.00°
Closest atoms and distances in Å follow each position.
Positions (direct):
Cd1 0.7500 0.7500 0.7500  4 Ni 2.47
Be1 0.2500 0.2500 0.2500  4 Ni 2.47
Ni1 0.0000 0.0000 0.0000  4 Cd 2.47, 4 Be 2.47

***

x:
Here is a relaxed structure of BeCdNi from the Open Quantum Materials Database. Energies are from PBE.

Cell: 4.0573 4.0573 4.0573 Å, 60.00 60.00 60.00°
Closest atoms and distances in Å follow each position.
Positions (direct):
Be1 0.2500 0.2500 0.2500  4 Cd 2.48
Ni1 0.7500 0.7500 0.7500  4 Cd 2.48
Cd1 0.0000 0.0000 0.0000  4 Ni 2.48, 4 Be 2.48

***

Of them, w has the highest stability.

***

w:
Here is a relaxed structure of BeCdNiPb from the Open Quantum Materials Database. Energies are from PBE.

Cell: 4.6509 4.6509 4.6509 Å, 60.00 60.00 60.00°
Closest atoms and distances in Å follow each position.
Positions (direct):
Be1 0.7500 0.7500 0.7500  4 Ni 2.85, 4 Cd 2.85
Cd1 0.0000 0.0000 0.0000  4 Pb 2.85, 4 Be 2.85
Ni1 0.5000 0.5000 0.5000  4 Be 2.85, 4 Pb 2.85
Pb1 0.2500 0.2500 0.2500  4 Cd 2.85, 4 Ni 2.85

***

x:
Here is a relaxed structure of BeCdNiPb from the Open Quantum Materials Database. Energies are from PBE.

Cell: 4.5947 4.5947 4.5947 Å, 60.00 60.00 60.00°
Closest atoms and distances in Å follow each position.
Positions (direct):
Ni1 0.7500 0.7500 0.7500  4 Cd 2.81, 4 Pb 2.81
Be1 0.2500 0.2500 0.2500  4 Pb 2.81, 4 Cd 2.81
Pb1 0.0000 0.0000 0.0000  4 Be 2.81, 4 Ni 2.81
Cd1 0.5000 0.5000 0.5000  4 Ni 2.81, 4 Be 2.81

***

Of them, x has the highest stability.

***

w:
Here is a relaxed structure of BeCdSiNi from the Open Quantum Materials Database. Energies are from PBE.

Cell: 4.2332 4.2332 4.2332 Å, 60.00 60.00 60.00°
Closest atoms and distances in Å follow each position.
Positions (direct):
Cd1 0.5000 0.5000 0.5000  4 Be 2.59, 4 Ni 2.59
Be1 0.7500 0.7500 0.7500  4 Cd 2.59, 4 Si 2.59
Si1 0.0000 0.0000 0.0000  4 Ni 2.59, 4 Be 2.59
Ni1 0.2500 0.2500 0.2500  4 Si 2.59, 4 Cd 2.59

***

x:
Here is a relaxed structure of BeCdSiNi from the Open Quantum Materials Database. Energies are from PBE.

Cell: 4.2901 4.2901 4.2901 Å, 60.00 60.00 60.00°
Closest atoms and distances in Å follow each position.
Positions (direct):
Si1 0.0000 0.0000 0.0000  4 Cd 2.63, 4 Be 2.63
Be1 0.7500 0.7500 0.7500  4 Ni 2.63, 4 Si 2.63
Cd1 0.2500 0.2500 0.2500  4 Si 2.63, 4 Ni 2.63
Ni1 0.5000 0.5000 0.5000  4 Cd 2.63, 4 Be 2.63

***

y:
Here is a relaxed structure of BeCdSiNi from the Open Quantum Materials Database. Energies are from PBE.

Cell: 4.2279 4.2279 4.2279 Å, 60.00 60.00 60.00°
Closest atoms and distances in Å follow each position.
Positions (direct):
Cd1 0.0000 0.0000 0.0000  4 Be 2.59, 4 Si 2.59
Be1 0.7500 0.7500 0.7500  4 Cd 2.59, 4 Ni 2.59
Si1 0.2500 0.2500 0.2500  4 Cd 2.59, 4 Ni 2.59
Ni1 0.5000 0.5000 0.5000  4 Si 2.59, 4 Be 2.59

***

Of them, w has the highest stability.

***

w:
Here is a relaxed structure of BeCdTeO from the Open Quantum Materials Database. Energies are from PBE.

Cell: 3.9328 3.9328 9.2931 Å, 90.00 90.00 90.00°
Closest atoms and distances in Å follow each position.
Positions (direct):
O1 0.2500 0.7500 0.5000  4 Cd 2.20
O2 0.7500 0.2500 0.5000  4 Cd 2.20
Cd1 0.7500 0.7500 0.3938  4 O 2.20
Cd2 0.2500 0.2500 0.6062  4 O 2.20
Be1 0.2500 0.2500 0.8997  1 Te 2.40
Be2 0.7500 0.7500 0.1003  1 Te 2.40
Te1 0.2500 0.2500 0.1579  1 Be 2.40
Te2 0.7500 0.7500 0.8421  1 Be 2.40

***

x:
Here is a relaxed structure of BeCdTeO from the Open Quantum Materials Database. Energies are from PBE.

Cell: 6.5911 7.0995 6.4153 Å, 90.00 90.00 90.00°
Closest atoms and distances in Å follow each position.
Positions (direct):
Be1 0.4616 0.6812 0.0439  1 O 1.54
Be2 0.0384 0.6812 0.5439  1 O 1.54
Be3 0.9616 0.3188 0.0439  1 O 1.54
Be4 0.5384 0.3188 0.5439  1 O 1.54
Cd1 0.3837 0.1110 0.9427  3 O 2.27-2.33
Cd2 0.1163 0.1110 0.4427  3 O 2.27-2.33
Cd3 0.6163 0.8890 0.4427  3 O 2.27-2.33
Cd4 0.8837 0.8890 0.9427  3 O 2.27-2.33
O1 0.0707 0.1325 0.0935  1 Be 1.54
O2 0.9293 0.8675 0.5935  1 Be 1.54
O3 0.4293 0.1325 0.5935  1 Be 1.54
O4 0.5707 0.8675 0.0935  1 Be 1.54
Te1 0.3926 0.6272 0.6698  3 Be 2.47-2.52
Te2 0.6074 0.3728 0.1698  3 Be 2.47-2.52
Te3 0.8926 0.3728 0.6698  3 Be 2.47-2.52
Te4 0.1074 0.6272 0.1698  3 Be 2.47-2.52

***

Of them, x has the highest stability.

***

w:
Here is a relaxed structure of BeCdTeO from the Open Quantum Materials Database. Energies are from PBE.

Cell: 3.7006 3.7006 10.0679 Å, 90.00 90.00 90.00°
Closest atoms and distances in Å follow each position.
Positions (direct):
Be1 0.2500 0.2500 0.4763  4 O 1.87
Be2 0.7500 0.7500 0.5237  4 O 1.87
O1 0.7500 0.2500 0.5000  4 Be 1.87
O2 0.2500 0.7500 0.5000  4 Be 1.87
Cd1 0.2500 0.2500 0.7554  4 Te 2.79, 1 Be 2.81
Cd2 0.7500 0.7500 0.2446  4 Te 2.79, 1 Be 2.81
Te1 0.7500 0.7500 0.8511  4 Cd 2.79
Te2 0.2500 0.2500 0.1489  4 Cd 2.79

***

x:
Here is a relaxed structure of BeCdTeO from the Open Quantum Materials Database. Energies are from PBE.

Cell: 6.5896 7.2003 7.5816 Å, 90.00 90.00 90.00°
Closest atoms and distances in Å follow each position.
Positions (direct):
Te1 0.4398 0.6315 0.9361  2 Be 2.41-2.43
Te2 0.5602 0.1314 0.5639  2 Be 2.41-2.43
Te3 0.0602 0.3685 0.4361  2 Be 2.41-2.43
Te4 0.9398 0.8685 0.0639  2 Be 2.41-2.43
Cd1 0.3086 0.6507 0.5790  2 O 2.20-2.22
Cd2 0.8086 0.8493 0.4210  2 O 2.20-2.22
Cd3 0.1914 0.3493 0.0790  2 O 2.20-2.22
Cd4 0.6914 0.1507 0.9210  2 O 2.20-2.22
O1 0.1078 0.8928 0.5489  1 Be 1.45
O2 0.6078 0.6072 0.4511  1 Be 1.45
O3 0.3922 0.1072 0.0489  1 Be 1.45
O4 0.8922 0.3928 0.9511  1 Be 1.45
Be1 0.6987 0.4243 0.4679  1 O 1.45
Be2 0.1987 0.0757 0.5321  1 O 1.45
Be3 0.3013 0.9243 0.0321  1 O 1.45
Be4 0.8013 0.5757 0.9679  1 O 1.45

***

Of them, x has the highest stability.

***

w:
Here is a relaxed structure of BeCdTeO from the Open Quantum Materials Database. Energies are from PBE.

Cell: 4.4787 4.4787 7.0901 Å, 90.00 90.00 90.00°
Closest atoms and distances in Å follow each position.
Positions (direct):
Be1 0.7500 0.7500 0.3249  1 O 1.51
Be2 0.2500 0.2500 0.6751  1 O 1.51
Te1 0.7500 0.7500 0.6578  1 Be 2.36
Te2 0.2500 0.2500 0.3422  1 Be 2.36
Cd1 0.7500 0.2500 0.0000  4 O 2.38
Cd2 0.2500 0.7500 0.0000  4 O 2.38
O1 0.7500 0.7500 0.1119  1 Be 1.51
O2 0.2500 0.2500 0.8881  1 Be 1.51

***

x:
Here is a relaxed structure of BeCdTeO from the Open Quantum Materials Database. Energies are from PBE.

Cell: 7.0274 7.3589 11.6239 Å, 90.00 90.00 90.00°
Closest atoms and distances in Å follow each position.
Positions (direct):
O1 0.0979 0.2751 0.7134  1 Be 1.54
O2 0.4021 0.7249 0.2134  1 Be 1.54
O3 0.5979 0.2751 0.7866  1 Be 1.54
O4 0.9021 0.7249 0.2866  1 Be 1.54
O5 0.9021 0.7751 0.7866  1 Be 1.54
O6 0.0979 0.2249 0.2134  1 Be 1.54
O7 0.5979 0.2249 0.2866  1 Be 1.54
O8 0.4021 0.7751 0.7134  1 Be 1.54
Be1 0.5832 0.3155 0.9159  1 O 1.54
Be2 0.4168 0.8155 0.5841  1 O 1.54
Be3 0.0832 0.3155 0.5841  1 O 1.54
Be4 0.9168 0.6845 0.4159  1 O 1.54
Be5 0.5832 0.1845 0.4159  1 O 1.54
Be6 0.9168 0.8155 0.9159  1 O 1.54
Be7 0.4168 0.6845 0.0841  1 O 1.54
Be8 0.0832 0.1845 0.0841  1 O 1.54
Te1 0.7371 0.9183 0.5191  3 Be 2.45-2.54
Te2 0.2629 0.4183 0.9809  3 Be 2.45-2.54
Te3 0.7629 0.0817 0.0191  3 Be 2.45-2.54
Te4 0.2371 0.9183 0.9809  3 Be 2.45-2.54
Te5 0.2629 0.0817 0.4809  3 Be 2.45-2.54
Te6 0.2371 0.5817 0.4809  3 Be 2.45-2.54
Te7 0.7371 0.5817 0.0191  3 Be 2.45-2.54
Te8 0.7629 0.4183 0.5191  3 Be 2.45-2.54
Cd1 0.6587 0.5867 0.7330  3 O 2.29-2.41
Cd2 0.6587 0.9133 0.2330  3 O 2.29-2.41
Cd3 0.8413 0.0867 0.7330  3 O 2.29-2.41
Cd4 0.3413 0.4133 0.2670  3 O 2.29-2.41
Cd5 0.8413 0.4133 0.2330  3 O 2.29-2.41
Cd6 0.1587 0.5867 0.7670  3 O 2.29-2.41
Cd7 0.3413 0.0867 0.7670  3 O 2.29-2.41
Cd8 0.1587 0.9133 0.2670  3 O 2.29-2.41

***

Of them, x has the highest stability.

***

w:
Here is a relaxed structure of BeCdTeO from the Open Quantum Materials Database. Energies are from PBE.

Cell: 4.5638 4.5638 7.4806 Å, 90.00 90.00 90.00°
Closest atoms and distances in Å follow each position.
Positions (direct):
Cd1 0.2500 0.2500 0.1635  1 O 2.09
Cd2 0.7500 0.7500 0.8365  1 O 2.09
Be1 0.7500 0.7500 0.3077  1 O 1.43
Be2 0.2500 0.2500 0.6923  1 O 1.43
O1 0.7500 0.7500 0.1163  1 Be 1.43
O2 0.2500 0.2500 0.8837  1 Be 1.43
Te1 0.2500 0.7500 0.5000  4 Be 2.70
Te2 0.7500 0.2500 0.5000  4 Be 2.70

***

x:
Here is a relaxed structure of BeCdTeO from the Open Quantum Materials Database. Energies are from PBE.

Cell: 3.5476 3.5476 12.0831 Å, 83.81 83.81 73.62°
Closest atoms and distances in Å follow each position.
Positions (direct):
O1 0.2332 0.2332 0.6303  1 Te 2.16, 1 Cd 2.21
O2 0.6135 0.6135 0.4452  1 Te 1.98
Be1 0.8128 0.3159 0.9407  2 Be 2.11-2.14
Be2 0.3159 0.8128 0.9407  2 Be 2.11-2.14
Te1 0.3334 0.3334 0.7969  1 O 2.16, 2 Be 2.40
Te2 0.7274 0.7274 0.2830  1 O 1.98
Cd1 0.2708 0.2708 0.0992  4 Be 2.59-2.61
Cd2 0.9031 0.9031 0.5524  4 O 2.21-2.47

***

y:
Here is a relaxed structure of BeCdTeO from the Open Quantum Materials Database. Energies are from PBE.

Cell: 5.1631 11.7389 10.9418 Å, 90.00 90.00 90.00°
Closest atoms and distances in Å follow each position.
Positions (direct):
Cd1 0.6998 0.4759 0.8550  1 O 2.26
Cd2 0.3002 0.9759 0.6450  1 O 2.26
Cd3 0.8002 0.5241 0.3550  1 O 2.26
Cd4 0.1998 0.0241 0.1450  1 O 2.26
Cd5 0.3002 0.5241 0.1450  1 O 2.26
Cd6 0.8002 0.9759 0.8550  1 O 2.26
Cd7 0.1998 0.4759 0.6450  1 O 2.26
Cd8 0.6998 0.0241 0.3550  1 O 2.26
O1 0.9006 0.3517 0.2760  2 Be 1.48-1.49
O2 0.0994 0.8517 0.2240  2 Be 1.48-1.49
O3 0.0994 0.6483 0.7240  2 Be 1.48-1.49
O4 0.5994 0.8517 0.2760  2 Be 1.48-1.49
O5 0.4006 0.1483 0.7240  2 Be 1.48-1.49
O6 0.5994 0.6483 0.7760  2 Be 1.48-1.49
O7 0.4006 0.3517 0.2240  2 Be 1.48-1.49
O8 0.9006 0.1483 0.7760  2 Be 1.48-1.49
Te1 0.3053 0.6277 0.4106  1 Be 2.49
Te2 0.8053 0.6277 0.0894  1 Be 2.49
Te3 0.1947 0.3723 0.9106  1 Be 2.49
Te4 0.6947 0.3723 0.5894  1 Be 2.49
Te5 0.1947 0.1277 0.4106  1 Be 2.49
Te6 0.8053 0.8723 0.5894  1 Be 2.49
Te7 0.3053 0.8723 0.9106  1 Be 2.49
Te8 0.6947 0.1277 0.0894  1 Be 2.49
Be1 0.1674 0.1957 0.7843  2 O 1.48-1.49
Be2 0.6674 0.1957 0.7157  2 O 1.48-1.49
Be3 0.8326 0.6957 0.7157  2 O 1.48-1.49
Be4 0.8326 0.8043 0.2157  2 O 1.48-1.49
Be5 0.1674 0.3043 0.2843  2 O 1.48-1.49
Be6 0.6674 0.3043 0.2157  2 O 1.48-1.49
Be7 0.3326 0.8043 0.2843  2 O 1.48-1.49
Be8 0.3326 0.6957 0.7843  2 O 1.48-1.49

***

Of them, y has the highest stability.

***

w:
Here is a relaxed structure of BeCdTeO from the Open Quantum Materials Database. Energies are from PBE.

Cell: 5.0862 8.4026 7.7619 Å, 90.00 90.00 90.00°
Closest atoms and distances in Å follow each position.
Positions (direct):
Te1 0.5502 0.5790 0.8746  1 Be 2.53, 2 Cd 2.77-2.82
Te2 0.0502 0.9210 0.1254  1 Be 2.53, 2 Cd 2.77-2.82
Te3 0.4498 0.0790 0.6254  1 Be 2.53, 2 Cd 2.77-2.82
Te4 0.9498 0.4210 0.3746  1 Be 2.53, 2 Cd 2.77-2.82
Be1 0.7149 0.3100 0.9717  2 O 1.50-1.51
Be2 0.2851 0.8100 0.5283  2 O 1.50-1.51
Be3 0.7851 0.6900 0.4717  2 O 1.50-1.51
Be4 0.2149 0.1900 0.0283  2 O 1.50-1.51
O1 0.4985 0.2235 0.0657  2 Be 1.50-1.51
O2 0.0015 0.7765 0.5657  2 Be 1.50-1.51
O3 0.9985 0.2765 0.9343  2 Be 1.50-1.51
O4 0.5015 0.7235 0.4343  2 Be 1.50-1.51
Cd1 0.8261 0.8941 0.8015  1 O 2.26
Cd2 0.1739 0.3941 0.6985  1 O 2.26
Cd3 0.6739 0.1059 0.3015  1 O 2.26
Cd4 0.3261 0.6059 0.1985  1 O 2.26

***

x:
Here is a relaxed structure of BeCdTeO from the Open Quantum Materials Database. Energies are from PBE.

Cell: 6.4683 8.7742 5.6648 Å, 90.00 90.00 90.00°
Closest atoms and distances in Å follow each position.
Positions (direct):
Te1 0.9562 0.4929 0.5536  1 Be 2.69, 2 Te 2.89
Te2 0.5438 0.4929 0.0536  1 Be 2.69, 2 Te 2.89
Te3 0.0438 0.5071 0.0536  1 Be 2.69, 2 Te 2.89
Te4 0.4562 0.5071 0.5536  1 Be 2.69, 2 Te 2.89
O1 0.7624 0.1674 0.8122  2 Be 1.49-1.50
O2 0.2624 0.8326 0.8122  2 Be 1.49-1.50
O3 0.7376 0.1674 0.3122  2 Be 1.49-1.50
O4 0.2376 0.8326 0.3122  2 Be 1.49-1.50
Cd1 0.7789 0.8673 0.3239  1 O 2.65, 2 Cd 2.86
Cd2 0.2789 0.1327 0.3239  1 O 2.65, 2 Cd 2.86
Cd3 0.7211 0.8673 0.8239  1 O 2.65, 2 Cd 2.86
Cd4 0.2211 0.1327 0.8239  1 O 2.65, 2 Cd 2.86
Be1 0.2742 0.7824 0.5603  2 O 1.49-1.50
Be2 0.7258 0.2176 0.0603  2 O 1.49-1.50
Be3 0.2258 0.7824 0.0603  2 O 1.49-1.50
Be4 0.7742 0.2176 0.5603  2 O 1.49-1.50

***

Of them, w has the highest stability.

***

w:
Here is a relaxed structure of PaBeCd from the Open Quantum Materials Database. Energies are from PBE.

Cell: 4.4884 4.4884 4.4884 Å, 60.00 60.00 60.00°
Closest atoms and distances in Å follow each position.
Positions (direct):
Pa1 0.7500 0.7500 0.7500  4 Be 2.75
Cd1 0.2500 0.2500 0.2500  4 Be 2.75
Be1 0.0000 0.0000 0.0000  4 Pa 2.75, 4 Cd 2.75

***

x:
Here is a relaxed structure of PaBeCd from the Open Quantum Materials Database. Energies are from PBE.

Cell: 4.7714 4.7714 4.7714 Å, 60.00 60.00 60.00°
Closest atoms and distances in Å follow each position.
Positions (direct):
Cd1 0.7500 0.7500 0.7500  4 Pa 2.92
Be1 0.2500 0.2500 0.2500  4 Pa 2.92
Pa1 0.0000 0.0000 0.0000  4 Cd 2.92, 4 Be 2.92

***

Of them, w has the highest stability.